No. 1
The following is a DFT calculation (GGA+U) of an optimized crystal structure of VINF2.

Geometry as POSCAR:
```
VINF2
1.0
3.9530 0.0000 0.0000
0.0000 3.9530 0.0000
0.0000 0.0000 4.5249
V I N F
1 1 1 2
Direct
0.0000 0.0000 0.0000
0.5000 0.5000 0.5000
0.0000 0.0000 0.5000
0.0000 0.5000 0.0000
0.5000 0.0000 0.0000
```

## Properties
For the relative energy among the computed polymorphs, the calculation gives 0 meV per atom. The value obtained for the density is 5.4 Mg/m³. The density of states at the Fermi level is 0.808 states/eV per atom.

=====

No. 2
The following is a DFT calculation (GGA+U) of an optimized crystal structure of VINF2.

Geometry as POSCAR:
```
VINF2
1.0
4.8459 0.0000 0.0000
0.0000 4.8459 0.0000
0.0000 0.0000 4.0827
V I N F
1 1 1 2
Direct
0.0000 0.0000 0.0000
0.5000 0.5000 0.5000
0.5000 0.5000 0.0000
0.0000 0.5000 0.5000
0.5000 0.0000 0.5000
```

## Properties
For the relative energy among the computed polymorphs, the calculation gives 1101 meV per atom. The value obtained for the density is 4.0 Mg/m³. The density of states at the Fermi level is 0.477 states/eV per atom.

=====

No. 3
The following is a DFT calculation (GGA+U) of an optimized crystal structure of VIN2F.

Geometry as POSCAR:
```
VIN2F
1.0
4.0095 0.0000 0.0000
0.0000 4.0095 0.0000
0.0000 0.0000 3.9859
V I N F
1 1 2 1
Direct
0.0000 0.0000 0.0000
0.5000 0.5000 0.5000
0.0000 0.5000 0.0000
0.5000 0.0000 0.0000
0.0000 0.0000 0.5000
```

## Properties
For the relative energy among the computed polymorphs, the calculation gives 0 meV per atom. The value obtained for the density is 5.8 Mg/m³. The density of states at the Fermi level is 0.942 states/eV per atom.

=====

No. 4
The following is a DFT calculation (GGA+U) of an optimized crystal structure of V2INF.

Geometry as POSCAR:
```
V2INF
1.0
4.2086 0.0000 0.0000
0.0000 4.2086 0.0000
0.0000 0.0000 4.5955
V I N F
2 1 1 1
Direct
0.0000 0.5000 0.0000
0.5000 0.0000 0.0000
0.0000 0.0000 0.5000
0.5000 0.5000 0.0000
0.5000 0.5000 0.5000
```

## Properties
Its electronic total energy is -5.247 eV/atom. The value obtained for the density is 5.3 Mg/m³. The density of states at the Fermi level is 0.394 states/eV per atom.

=====

No. 5
The following is a DFT calculation (GGA+U) of an optimized crystal structure of VIN2F.

Geometry as POSCAR:
```
VIN2F
1.0
4.1953 0.0000 0.0000
0.0000 4.1953 0.0000
0.0000 0.0000 4.3261
V I N F
1 1 2 1
Direct
0.0000 0.0000 0.0000
0.5000 0.5000 0.5000
0.0000 0.5000 0.5000
0.5000 0.0000 0.5000
0.5000 0.5000 0.0000
```

## Properties
For the relative energy among the computed polymorphs, the calculation gives 1117 meV per atom. The value obtained for the density is 4.9 Mg/m³. The density of states at the Fermi level is 0.661 states/eV per atom.

=====

No. 6
The following is a DFT calculation (GGA+U) of an optimized crystal structure of VIN2F.

Geometry as POSCAR:
```
VIN2F
1.0
4.1771 0.0000 0.0000
0.0000 4.1771 0.0000
0.0000 0.0000 4.3982
V I N F
1 1 2 1
Direct
0.0000 0.0000 0.0000
0.5000 0.5000 0.0000
0.0000 0.5000 0.5000
0.5000 0.0000 0.5000
0.5000 0.5000 0.5000
```

## Properties
For the relative energy among the computed polymorphs, the calculation gives 1942 meV per atom. The value obtained for the density is 4.9 Mg/m³. The density of states at the Fermi level is 0.926 states/eV per atom.

=====

No. 7
The following is a DFT calculation (GGA+U) of an optimized crystal structure of VIN2F.

Geometry as POSCAR:
```
VIN2F
1.0
3.7397 0.0000 0.0000
0.0000 3.7397 0.0000
0.0000 0.0000 5.6704
V I N F
1 1 2 1
Direct
0.0000 0.0000 0.0000
0.0000 0.0000 0.5000
0.0000 0.5000 0.0000
0.5000 0.0000 0.0000
0.5000 0.5000 0.5000
```

## Properties
For the relative energy among the computed polymorphs, the calculation gives 137 meV per atom. The value obtained for the density is 4.7 Mg/m³. The density of states at the Fermi level is 0.965 states/eV per atom.

=====

No. 8
The following is a DFT calculation (GGA+U) of an optimized crystal structure of WIN2F.

Geometry as POSCAR:
```
WIN2F
1.0
4.2482 0.0000 0.0000
0.0000 4.2482 0.0000
0.0000 0.0000 4.3333
W I N F
1 1 2 1
Direct
0.0000 0.0000 0.0000
0.5000 0.5000 0.5000
0.0000 0.5000 0.5000
0.5000 0.0000 0.5000
0.5000 0.5000 0.0000
```

## Properties
For the relative energy among the computed polymorphs, the calculation gives 1395 meV per atom. The value obtained for the density is 7.6 Mg/m³. The density of states at the Fermi level is 0.521 states/eV per atom.

=====

No. 9
The following is a DFT calculation (GGA+U) of an optimized crystal structure of WIN2F.

Geometry as POSCAR:
```
WIN2F
1.0
4.1594 0.0000 0.0000
0.0000 4.1594 0.0000
0.0000 0.0000 4.2617
W I N F
1 1 2 1
Direct
0.0000 0.0000 0.0000
0.5000 0.5000 0.5000
0.0000 0.5000 0.0000
0.5000 0.0000 0.0000
0.0000 0.0000 0.5000
```

## Properties
For the relative energy among the computed polymorphs, the calculation gives 0 meV per atom. The value obtained for the density is 8.1 Mg/m³. The density of states at the Fermi level is 0.565 states/eV per atom.

=====

No. 10
The following is a DFT calculation (GGA+U) of an optimized crystal structure of WIN2F.

Geometry as POSCAR:
```
WIN2F
1.0
3.9384 0.0000 0.0000
0.0000 3.9384 0.0000
0.0000 0.0000 5.7012
W I N F
1 1 2 1
Direct
0.0000 0.0000 0.0000
0.0000 0.0000 0.5000
0.0000 0.5000 0.0000
0.5000 0.0000 0.0000
0.5000 0.5000 0.5000
```

## Properties
For the relative energy among the computed polymorphs, the calculation gives 158 meV per atom. The value obtained for the density is 6.7 Mg/m³. The density of states at the Fermi level is 0.638 states/eV per atom.

=====

No. 11
The following is a DFT calculation (GGA+U) of an optimized crystal structure of WIN2F.

Geometry as POSCAR:
```
WIN2F
1.0
4.5297 0.0000 0.0000
0.0000 4.5297 0.0000
0.0000 0.0000 4.2181
W I N F
1 1 2 1
Direct
0.0000 0.0000 0.0000
0.5000 0.5000 0.0000
0.0000 0.5000 0.5000
0.5000 0.0000 0.5000
0.5000 0.5000 0.5000
```

## Properties
For the relative energy among the computed polymorphs, the calculation gives 1957 meV per atom. The value obtained for the density is 6.9 Mg/m³. The density of states at the Fermi level is 0.253 states/eV per atom.

=====

No. 12
The following is a DFT calculation (GGA+U) of an optimized crystal structure of WI2NF.

Geometry as POSCAR:
```
WI2NF
1.0
5.9100 0.0000 0.0000
0.0000 5.9100 0.0000
0.0000 0.0000 3.6069
W I N F
1 2 1 1
Direct
0.0000 0.0000 0.0000
0.0000 0.5000 0.5000
0.5000 0.0000 0.5000
0.5000 0.5000 0.0000
0.5000 0.5000 0.5000
```

## Properties
For the relative energy among the computed polymorphs, the calculation gives 1130 meV per atom. The value obtained for the density is 6.2 Mg/m³. The density of states at the Fermi level is 0.513 states/eV per atom.